A plane-wave DFT calculation with PBE was carried out for CrFe2Os after structural relaxation.

Unit cell a=2.5417 b=4.1529 c=4.8327 alpha=90.00 beta=101.41 gamma=90.00
Sites, in units of the cell vectors:
Cr 0.0000 0.0000 0.0000
Fe 0.2289 0.5000 0.7571
Fe 0.7711 0.5000 0.2429
Os 0.5000 0.0000 0.5000

Calculated values
M_tot   5.00 Bohr magnetons per cell
E_form   0.167 eV per atom